VASP calculation (PBE) on a relaxed structure of PrErTe.

Unit cell a=5.2148 b=5.2148 c=4.0390 alpha=90.00 beta=90.00 gamma=120.00
Space group P3m1 (No. 156)
One atom of each set of equivalent atoms:
Pr1 0.0000 0.0000 0.0000 (multiplicity 1)
Er1 0.3333 0.6667 0.4948 (multiplicity 1)
Te1 0.6667 0.3333 0.3773 (multiplicity 1)

Properties
The total energy is -4.666 eV/atom. The relative energy among the computed polymorphs comes out at 25.8 kJ per mole of atoms.

VASP calculation (PBE) on a relaxed structure of PrEr2Te4.

Unit cell a=13.6270 b=4.2764 c=15.6526 alpha=90.00 beta=90.00 gamma=90.00
Space group Pnma (No. 62)
One atom of each set of equivalent atoms:
Pr1 0.2478 0.2500 0.1757 (multiplicity 4)
Er1 0.0507 0.2500 0.3857 (multiplicity 4)
Er2 0.0986 0.2500 0.9133 (multiplicity 4)
Te1 0.0455 0.7500 0.7866 (multiplicity 4)
Te2 0.1041 0.2500 0.5740 (multiplicity 4)
Te3 0.1255 0.7500 0.0505 (multiplicity 4)
Te4 0.1971 0.7500 0.3282 (multiplicity 4)

Properties
The total energy is -5.162 eV/atom. The relative energy among the computed polymorphs comes out at 0.0 kJ per mole of atoms.

VASP calculation (PBE) on a relaxed structure of Pr3ErTe4.

Unit cell a=7.8282 b=8.8992 c=7.7361 alpha=90.00 beta=109.21 gamma=90.00
Space group P2/c (No. 13)
One atom of each set of equivalent atoms:
Pr1 0.0000 0.1198 0.2500 (multiplicity 2)
Pr2 0.0000 0.3726 0.7500 (multiplicity 2)
Pr3 0.5000 0.1220 0.7500 (multiplicity 2)
Er1 0.5000 0.3729 0.2500 (multiplicity 2)
Te1 0.2563 0.1328 0.0072 (multiplicity 4)
Te2 0.2623 0.3809 0.4990 (multiplicity 4)

Properties
The total energy is -5.318 eV/atom. The relative energy among the computed polymorphs comes out at 0.0 kJ per mole of atoms.

VASP calculation (PBE) on a relaxed structure of PrErTe2.

Unit cell a=7.6668 b=7.6668 c=7.6668 alpha=90.00 beta=90.00 gamma=90.00
Space group Fm-3m (No. 225)
One atom of each set of equivalent atoms:
Pr1 0.0000 0.0000 0.0000 (multiplicity 4)
Er1 0.0000 0.0000 0.5000 (multiplicity 4)
Te1 0.2500 0.2500 0.2500 (multiplicity 8)

Properties
The total energy is -5.104 eV/atom. The relative energy among the computed polymorphs comes out at 16.1 kJ per mole of atoms.

VASP calculation (PBE) on a relaxed structure of Pr4ErTe5.

Unit cell a=4.4522 b=4.4522 c=32.3789 alpha=90.00 beta=90.00 gamma=90.00
Space group I4/mmm (No. 139)
One atom of each set of equivalent atoms:
Pr1 0.0000 0.0000 0.1056 (multiplicity 4)
Pr2 0.0000 0.0000 0.3099 (multiplicity 4)
Er1 0.0000 0.0000 0.5000 (multiplicity 2)
Te1 0.0000 0.0000 0.0000 (multiplicity 2)
Te2 0.0000 0.0000 0.2059 (multiplicity 4)
Te3 0.0000 0.0000 0.4075 (multiplicity 4)

Properties
The total energy is -5.332 eV/atom.

VASP calculation (PBE) on a relaxed structure of PrErTe2.

Unit cell a=5.4109 b=5.4109 c=3.8424 alpha=90.00 beta=90.00 gamma=90.00
Space group P4/mmm (No. 123)
One atom of each set of equivalent atoms:
Pr1 0.0000 0.0000 0.0000 (multiplicity 1)
Er1 0.5000 0.5000 0.0000 (multiplicity 1)
Te1 0.0000 0.5000 0.5000 (multiplicity 2)

Properties
The total energy is -5.118 eV/atom. The relative energy among the computed polymorphs comes out at 14.7 kJ per mole of atoms.

VASP calculation (PBE) on a relaxed structure of Pr2ErTe3.

Unit cell a=9.0650 b=12.6009 c=26.3960 alpha=90.00 beta=90.00 gamma=90.00
Space group Fddd (No. 70, origin choice 2)
One atom of each set of equivalent atoms:
Pr1 0.1250 0.1250 0.0468 (multiplicity 16)
Pr2 0.1250 0.1250 0.3727 (multiplicity 16)
Er1 0.1250 0.1250 0.5427 (multiplicity 16)
Te1 0.1083 0.3750 0.8750 (multiplicity 16)
Te2 0.1183 0.3689 0.7116 (multiplicity 32)

Properties
The total energy is -5.294 eV/atom. The relative energy among the computed polymorphs comes out at 0.0 kJ per mole of atoms.

VASP calculation (PBE) on a relaxed structure of PrEr2Te.

Unit cell a=3.8432 b=3.8432 c=8.0996 alpha=90.00 beta=90.00 gamma=90.00
Space group P4/mmm (No. 123)
One atom of each set of equivalent atoms:
Pr1 0.0000 0.0000 0.0000 (multiplicity 1)
Er1 0.5000 0.5000 0.2823 (multiplicity 2)
Te1 0.0000 0.0000 0.5000 (multiplicity 1)

Properties
The total energy is -4.795 eV/atom. The relative energy among the computed polymorphs comes out at 11.2 kJ per mole of atoms.

VASP calculation (PBE) on a relaxed structure of Pr3ErTe6.

Unit cell a=7.4802 b=8.3414 c=13.4168 alpha=90.00 beta=122.39 gamma=90.00
Space group P2_1/c (No. 14)
One atom of each set of equivalent atoms:
Pr1 0.0000 0.0000 0.0000 (multiplicity 2)
Pr2 0.3067 0.1188 0.7553 (multiplicity 4)
Er1 0.5000 0.0000 0.5000 (multiplicity 2)
Te1 0.0952 0.0513 0.2580 (multiplicity 4)
Te2 0.2465 0.6723 0.0797 (multiplicity 4)
Te3 0.4206 0.1809 0.0765 (multiplicity 4)

Properties
The total energy is -5.170 eV/atom.

VASP calculation (PBE) on a relaxed structure of PrEr2Te5.

Unit cell a=8.1554 b=8.1554 c=14.3018 alpha=90.00 beta=90.00 gamma=90.00
Space group I4/mcm (No. 140)
One atom of each set of equivalent atoms:
Pr1 0.0000 0.0000 0.2500 (multiplicity 4)
Er1 0.1510 0.3490 0.0000 (multiplicity 8)
Te1 0.0000 0.0000 0.0000 (multiplicity 4)
Te2 0.1574 0.3426 0.3540 (multiplicity 16)

Properties
The total energy is -4.904 eV/atom.

VASP calculation (PBE) on a relaxed structure of Pr2Er3ThTe6.

Unit cell a=19.6303 b=4.3086 c=9.0615 alpha=90.00 beta=107.42 gamma=90.00
Space group C2/m (No. 12)
One atom of each set of equivalent atoms:
Pr1 0.1604 0.0000 0.3186 (multiplicity 4)
Er1 0.0000 0.5000 0.5000 (multiplicity 2)
Er2 0.1678 0.0000 0.8295 (multiplicity 4)
Th1 0.0000 0.5000 0.0000 (multiplicity 2)
Te1 0.0070 0.0000 0.7418 (multiplicity 4)
Te2 0.1650 0.5000 0.5879 (multiplicity 4)
Te3 0.1699 0.5000 0.0662 (multiplicity 4)

Properties
The total energy is -5.380 eV/atom.

VASP calculation (PBE) on a relaxed structure of Pr3Er2ThTe6.

Unit cell a=19.3202 b=4.3829 c=9.0410 alpha=90.00 beta=101.64 gamma=90.00
Space group C2/m (No. 12)
One atom of each set of equivalent atoms:
Pr1 0.0000 0.0000 0.0000 (multiplicity 2)
Pr2 0.1572 0.5000 0.3369 (multiplicity 4)
Er1 0.1658 0.5000 0.8344 (multiplicity 4)
Th1 0.0000 0.0000 0.5000 (multiplicity 2)
Te1 0.0082 0.5000 0.7541 (multiplicity 4)
Te2 0.1714 0.0000 0.0780 (multiplicity 4)
Te3 0.1707 0.0000 0.6013 (multiplicity 4)

Properties
The total energy is -5.438 eV/atom.

Number 11 is which compound?
Pr2Er3ThTe6